1.
This record from the Alexandria database describes Hg2RuPt after structural relaxation. The functional is PBE-GGA.

a = 9.372 Å, b = 9.372 Å, c = 9.372 Å
α = 18.37°, β = 18.37°, γ = 18.37°
Fractional positions:
1 Hg 0.249 0.249 0.249
2 Hg 0.751 0.751 0.751
3 Ru 0.500 0.500 0.500
4 Pt 0.000 0.000 0.000

## Properties
* DFT formation energy: 382 meV/atom
* energy relative to the lowest polymorph listed for this composition: 87 meV/atom
* mass density: 16.2 g cm⁻³
* magnetization: 0.57 μB/f.u.

***

2.
This record from the Alexandria database describes HgRuPt after structural relaxation. The functional is PBE-GGA.

a = 2.898 Å, b = 2.898 Å, c = 6.923 Å
α = 90.00°, β = 90.00°, γ = 120.00°
Fractional positions:
1 Hg 0.000 0.000 0.000
2 Ru 0.333 0.667 0.655
3 Pt 0.667 0.333 0.356

## Properties
* DFT formation energy: 319 meV/atom
* energy relative to the lowest polymorph listed for this composition: 40 meV/atom
* mass density: 16.4 g cm⁻³
* magnetization: 0.00 μB/f.u.

***

3.
This record from the Alexandria database describes HgRuPt2 after structural relaxation. The functional is PBE-GGA.

a = 4.944 Å, b = 4.944 Å, c = 4.944 Å
α = 131.94°, β = 131.94°, γ = 70.32°
Fractional positions:
1 Hg 0.000 0.000 0.000
2 Ru 0.500 0.500 0.000
3 Pt 0.250 0.750 0.500
4 Pt 0.750 0.250 0.500

## Properties
* DFT formation energy: 250 meV/atom
* mass density: 17.5 g cm⁻³
* magnetization: 0.68 μB/f.u.

***

4.
This record from the Alexandria database describes HgRuPt2 after structural relaxation. The functional is PBE-GGA.

a = 4.956 Å, b = 4.956 Å, c = 2.832 Å
α = 90.00°, β = 90.00°, γ = 110.09°
Fractional positions:
1 Hg 0.000 0.000 0.000
2 Ru 0.500 0.500 0.000
3 Pt 0.000 0.500 0.500
4 Pt 0.500 0.000 0.500

## Properties
* DFT formation energy: 216 meV/atom
* mass density: 17.6 g cm⁻³
* magnetization: 0.41 μB/f.u.